(1)
DFT (PBE-GGA) results for crystalline RuCl12F6 at its relaxed geometry.

```
data_RuCl12F6
_chemical_formula_sum 'Ru3 Cl36 F18'
_symmetry_space_group_name_H-M 'R -3'
_symmetry_Int_Tables_number 148
_symmetry_space_group_name_Hall '-R 3'
_cell_length_a 7.0052
_cell_length_b 7.0052
_cell_length_c 40.2366
_cell_angle_alpha 90.00
_cell_angle_beta 90.00
_cell_angle_gamma 120.00
loop_
_atom_site_label
_atom_site_type_symbol
_atom_site_fract_x
_atom_site_fract_y
_atom_site_fract_z
Ru1 Ru 0.0000 0.0000 0.0000
Cl1 Cl 0.0231 0.4950 0.6997
Cl2 Cl 0.0692 0.8380 0.4527
F1 F 0.0277 0.4393 0.5472
```

Results
* raw total energy: -2.574 eV per atom
* ρ: 1.9 g cm⁻³
* formation energy from raw total energies: -0.329 eV per atom
* DOS at the Fermi energy: 18.39 states/eV/f.u.

---

(2)
DFT (PBE-GGA) results for crystalline Mn7Ni8Sn at its relaxed geometry.

```
data_Mn7Ni8Sn
_chemical_formula_sum 'Mn21 Ni24 Sn3'
_symmetry_space_group_name_H-M 'R -3 m'
_symmetry_Int_Tables_number 166
_symmetry_space_group_name_Hall '-R 3 2"'
_cell_length_a 4.1577
_cell_length_b 4.1577
_cell_length_c 41.1838
_cell_angle_alpha 90.00
_cell_angle_beta 90.00
_cell_angle_gamma 120.00
loop_
_atom_site_label
_atom_site_type_symbol
_atom_site_fract_x
_atom_site_fract_y
_atom_site_fract_z
Mn1 Mn 0.0000 0.0000 0.0000
Mn2 Mn 0.0000 0.0000 0.1231
Mn3 Mn 0.0000 0.0000 0.2520
Mn4 Mn 0.0000 0.0000 0.3742
Ni1 Ni 0.0000 0.0000 0.0618
Ni2 Ni 0.0000 0.0000 0.1916
Ni3 Ni 0.0000 0.0000 0.3131
Ni4 Ni 0.0000 0.0000 0.4351
Sn1 Sn 0.0000 0.0000 0.5000
```

Results
* raw total energy: -7.212 eV per atom
* ρ: 7.9 g cm⁻³
* calculated formation energy: -0.060 eV per atom
* DOS at the Fermi energy: 11.07 states/eV/f.u.

---

(3)
DFT (PBE-GGA) results for crystalline YHf4Rh5 at its relaxed geometry.

```
data_YHf4Rh5
_chemical_formula_sum 'Y1 Hf4 Rh5'
_symmetry_space_group_name_H-M 'P 4/m m m'
_symmetry_Int_Tables_number 123
_symmetry_space_group_name_Hall '-P 4 2'
_cell_length_a 3.2818
_cell_length_b 3.2818
_cell_length_c 16.8546
_cell_angle_alpha 90.00
_cell_angle_beta 90.00
_cell_angle_gamma 90.00
loop_
_atom_site_label
_atom_site_type_symbol
_atom_site_fract_x
_atom_site_fract_y
_atom_site_fract_z
Y1 Y 0.0000 0.0000 0.0000
Hf1 Hf 0.0000 0.0000 0.2079
Hf2 Hf 0.0000 0.0000 0.4034
Rh1 Rh 0.5000 0.5000 0.1228
Rh2 Rh 0.5000 0.5000 0.3104
Rh3 Rh 0.5000 0.5000 0.5000
```

Results
* raw total energy: -9.190 eV per atom
* ρ: 12.1 g cm⁻³
* calculated formation energy: -0.887 eV per atom
* DOS at the Fermi energy: 6.77 states/eV/f.u.